[1]
Sr2NdP3Pt12 | GGA-PBE | relaxed

POSCAR file:
```
Sr2NdP3Pt12
1.0
4.195 2.422 6.161
-4.195 2.422 6.161
0.000 -4.844 6.161
Sr Nd P Pt
2 1 3 12
Direct
0.097 0.097 0.097
0.903 0.903 0.903
0.500 0.500 0.500
0.000 0.500 0.500
0.500 0.000 0.500
0.500 0.500 0.000
0.094 0.639 0.639
0.167 0.167 0.597
0.167 0.597 0.167
0.361 0.361 0.906
0.361 0.906 0.361
0.403 0.833 0.833
0.597 0.167 0.167
0.639 0.094 0.639
0.639 0.639 0.094
0.833 0.403 0.833
0.833 0.833 0.403
0.906 0.361 0.361
```

Formation energy from the elements, eV per atom: -0.370

***

[2]
SrNdP2Pt4 | GGA-PBE | relaxed

POSCAR file:
```
SrNdP2Pt4
1.0
4.101 0.000 0.000
0.000 4.101 0.000
0.000 0.000 10.124
Sr Nd P Pt
1 1 2 4
Direct
0.000 0.000 0.000
0.000 0.000 0.500
0.500 0.500 0.162
0.500 0.500 0.838
0.000 0.500 0.278
0.000 0.500 0.722
0.500 0.000 0.278
0.500 0.000 0.722
```

Formation energy from the elements, eV per atom: -0.842

***

[3]
Nd8Te4P3Pt | GGA-PBE | relaxed

POSCAR file:
```
Nd8Te4P3Pt
1.0
4.299 2.482 7.265
-4.299 2.482 7.265
0.000 -4.964 7.265
Nd Te P Pt
8 4 3 1
Direct
0.237 0.740 0.740
0.238 0.238 0.238
0.260 0.260 0.763
0.260 0.763 0.260
0.740 0.237 0.740
0.740 0.740 0.237
0.762 0.762 0.762
0.763 0.260 0.260
0.000 0.000 0.000
0.000 0.500 0.500
0.500 0.000 0.500
0.500 0.500 0.000
0.000 0.000 0.500
0.000 0.500 0.000
0.500 0.000 0.000
0.500 0.500 0.500
```

Formation energy (no corrections), meV per atom: -1469

***

[4]
Nd4Te2PPt | GGA-PBE | relaxed

POSCAR file:
```
Nd4Te2PPt
1.0
7.558 0.000 0.000
0.000 4.261 0.000
-2.472 0.000 7.291
Nd Te P Pt
4 2 1 1
Direct
0.233 0.000 0.219
0.262 0.500 0.786
0.738 0.500 0.214
0.767 0.000 0.781
0.000 0.000 0.500
0.500 0.500 0.500
0.000 0.500 0.000
0.500 0.000 0.000
```

Formation energy (no corrections), meV per atom: -1380

***

[5]
Nd6Te3P2Pt | GGA-PBE | relaxed

POSCAR file:
```
Nd6Te3P2Pt
1.0
9.574 -2.130 0.000
9.574 2.130 0.000
-2.264 0.000 8.562
Nd Te P Pt
6 3 2 1
Direct
0.009 0.009 0.232
0.326 0.326 0.436
0.336 0.336 0.893
0.664 0.664 0.107
0.674 0.674 0.564
0.991 0.991 0.768
0.166 0.166 0.832
0.500 0.500 0.500
0.834 0.834 0.168
0.168 0.168 0.336
0.832 0.832 0.664
0.500 0.500 0.000
```

Formation energy (no corrections), meV per atom: -1452

***

[6]
NdTl2P2Pt7 | GGA-PBE | relaxed

POSCAR file:
```
NdTl2P2Pt7
1.0
2.872 -2.872 0.000
2.872 2.872 0.000
-1.313 0.000 14.250
Nd Tl P Pt
1 2 2 7
Direct
0.000 0.000 0.000
0.084 0.084 0.400
0.916 0.916 0.600
0.442 0.442 0.752
0.558 0.558 0.248
0.038 0.537 0.159
0.428 0.428 0.593
0.463 0.962 0.841
0.500 0.500 0.000
0.537 0.038 0.159
0.572 0.572 0.407
0.962 0.463 0.841
```

Formation energy from the elements, eV per atom: -0.512

***

[7]
Nd2ZnP3Pt4 | GGA-PBE | relaxed

POSCAR file:
```
Nd2ZnP3Pt4
1.0
4.250 0.000 0.000
0.000 4.250 0.000
0.000 0.000 9.961
Nd Zn P Pt
2 1 3 4
Direct
0.000 0.500 0.245
0.500 0.000 0.755
0.000 0.000 0.500
0.000 0.500 0.867
0.500 0.000 0.133
0.500 0.500 0.500
0.000 0.000 0.000
0.000 0.500 0.631
0.500 0.000 0.369
0.500 0.500 0.000
```

Formation energy from the elements, eV per atom: -0.945

***

[8]
NdZn2P2Pt7 | GGA-PBE | relaxed

POSCAR file:
```
NdZn2P2Pt7
1.0
2.802 -2.799 0.000
2.802 2.799 0.000
-2.075 0.000 13.977
Nd Zn P Pt
1 2 2 7
Direct
0.000 0.000 0.000
0.100 0.100 0.417
0.900 0.900 0.583
0.405 0.405 0.740
0.595 0.595 0.260
0.061 0.561 0.167
0.389 0.389 0.580
0.439 0.939 0.833
0.500 0.500 0.000
0.561 0.061 0.167
0.611 0.611 0.420
0.939 0.439 0.833
```

Formation energy from the elements, eV per atom: -0.534

***

[9]
Nd2PuP | GGA-PBE | relaxed

POSCAR file:
```
Nd2PuP
1.0
1.957 1.130 9.294
-1.957 1.130 9.294
0.000 -2.259 9.294
Nd Pu P
2 1 1
Direct
0.228 0.228 0.228
0.772 0.772 0.772
0.000 0.000 0.000
0.500 0.500 0.500
```

Formation energy from the elements, eV per atom: -0.516

***

[10]
NdPuP2 | GGA-PBE | relaxed

POSCAR file:
```
NdPuP2
1.0
2.042 1.179 6.631
-2.042 1.179 6.631
0.000 -2.358 6.631
Nd Pu P
1 1 2
Direct
0.000 0.000 0.000
0.500 0.500 0.500
0.245 0.245 0.245
0.755 0.755 0.755
```

Formation energy from the elements, eV per atom: -1.341

***

[11]
NdPu2P4 | GGA-PBE | relaxed

POSCAR file:
```
NdPu2P4
1.0
2.088 -6.820 0.000
2.088 6.820 0.000
0.000 0.000 11.275
Nd Pu P
2 4 8
Direct
0.104 0.896 0.750
0.896 0.104 0.250
0.369 0.631 0.554
0.369 0.631 0.946
0.631 0.369 0.054
0.631 0.369 0.446
0.000 0.000 0.000
0.000 0.000 0.500
0.255 0.745 0.151
0.255 0.745 0.349
0.468 0.532 0.750
0.532 0.468 0.250
0.745 0.255 0.651
0.745 0.255 0.849
```

Formation energy from the elements, eV per atom: -0.918

***

[12]
NdPu5P6 | GGA-PBE | relaxed

POSCAR file:
```
NdPu5P6
1.0
3.492 -6.047 0.000
3.492 6.047 0.000
-2.328 0.000 6.518
Nd Pu P
1 5 6
Direct
0.000 0.000 0.000
0.165 0.835 0.500
0.333 0.667 0.000
0.500 0.500 0.500
0.667 0.333 0.000
0.835 0.165 0.500
0.086 0.427 0.256
0.257 0.257 0.745
0.427 0.086 0.256
0.573 0.914 0.744
0.743 0.743 0.255
0.914 0.573 0.744
```

Formation energy from the elements, eV per atom: -1.175

***

| no. | electronic total energy (eV per atom) | magnetization (μB/f.u.) | DOS at the Fermi energy (states/eV/f.u.) |
| --- | --- | --- | --- |
| 1 | -5.7510 | 0.00 | 5.9 |
| 2 | -6.0211 | 0.00 | 5.2 |
| 3 | -6.0300 | 0.00 | 9.8 |
| 4 | -5.9803 | 0.00 | 6.0 |
| 5 | -6.0264 | 0.00 | 6.8 |
| 6 | -5.7292 | 0.00 | 6.0 |
| 7 | -6.0653 | 0.00 | 5.2 |
| 8 | -5.5687 | 0.00 | 3.7 |
| 9 | -7.8352 | 7.24 | 11.2 |
| 10 | -8.8204 | 4.91 | 9.5 |
| 11 | -8.7849 | 8.99 | 16.9 |
| 12 | -10.2493 | 4.91 | 47.2 |